Co2As2O7 | PBEsol | optimized geometry

Summary:
Volume in Å³/cell: 127
Total magnetization in Bohr magnetons per cell: 6.0
Uncorrected formation energy in kJ/mol of formula units: -1001

a b c (Å): 5.2847 5.2847 4.8681
angles (deg): 96.36 96.36 107.62
Sites, in units of the cell vectors:
Co 0.1881 0.8119 0.0000
Co 0.8119 0.1881 0.0000
As 0.2692 0.2692 0.5984
As 0.7600 0.7600 0.3880
O 0.0693 0.0693 0.2874
O 0.1008 0.4385 0.7885
O 0.4385 0.1008 0.7885
O 0.4796 0.4796 0.4171
O 0.5660 0.9162 0.1996
O 0.8916 0.8916 0.7384
O 0.9162 0.5660 0.1996

ScFeGeH2 | PBEsol | optimized geometry

Summary:
Volume in Å³/cell: 59
Energy in eV per atom: -5.388
Total magnetization in Bohr magnetons per cell: 2.1

a b c (Å): 3.6287 3.6287 4.5156
angles (deg): 90.00 90.00 90.00
Sites, in units of the cell vectors:
Sc 0.0000 0.0000 0.0000
Fe 0.5000 0.5000 0.5000
Ge 0.5000 0.5000 0.0000
H 0.0000 0.5000 0.5000
H 0.5000 0.0000 0.5000

SrTe2 | PBEsol | optimized geometry

Summary:
Volume in Å³/cell: 224
Total magnetization in Bohr magnetons per cell: 0.0
Uncorrected formation energy in kJ/mol of formula units: -282

a b c (Å): 5.9936 5.9936 8.9904
angles (deg): 108.06 108.06 47.59
Sites, in units of the cell vectors:
Sr 0.0000 0.0000 0.0000
Sr 0.6734 0.6734 0.5790
Te 0.2392 0.2392 0.3657
Te 0.4345 0.4345 0.7128
Te 0.6880 0.6880 0.9775
Te 0.9790 0.9790 0.3561

GaP2Ir | PBEsol | optimized geometry

Summary:
Volume in Å³/cell: 152
Total magnetization in Bohr magnetons per cell: 0.0
DFT formation energy in eV per atom: -0.20

a b c (Å): 6.3948 6.3948 6.3948
angles (deg): 129.51 129.51 74.20
Sites, in units of the cell vectors:
Ga 0.0000 0.0000 0.0000
Ga 0.7500 0.2500 0.5000
P 0.1436 0.6250 0.0186
P 0.3750 0.3936 0.5186
P 0.6064 0.1250 0.9814
P 0.8750 0.8564 0.4814
Ir 0.2500 0.7500 0.5000
Ir 0.5000 0.5000 0.0000